(1)
Compound: HfZr2In3
Source: Alexandria
Functional: PBE-GGA
Structure: relaxed

The structure in POSCAR format:
```
HfZr2In3
1.0
2.2241 -6.6699 0.0000
2.2241 6.6699 0.0000
0.0000 0.0000 4.4471
Hf Zr In
1 2 3
Cartesian
0.0000 0.0000 0.0000
2.2241 2.2056 0.0000
2.2241 -2.2056 0.0000
2.2241 4.4532 2.2235
2.2241 0.0000 2.2235
2.2241 -4.4532 2.2235
```

Calculated values
Space group ... Cmmm (65)
ΔE_f ... -0.27 eV per atom

=====

(2)
Compound: PPtPb2
Source: Alexandria
Functional: PBE-GGA
Structure: relaxed

The structure in POSCAR format:
```
PPtPb2
1.0
-3.1797 3.1797 6.1219
3.1797 -3.1797 6.1219
3.1797 3.1797 -6.1219
P Pt Pb
2 2 4
Cartesian
0.0000 0.0000 0.0000
0.0000 3.1797 3.0609
3.1797 0.0000 3.0609
0.0000 0.0000 6.1219
1.5898 -1.5545 4.5914
1.6252 1.5898 1.5305
1.5898 4.7342 -1.5305
1.5545 1.5898 7.6523
```

Calculated values
Space group ... I-42d (122)
ΔE_f ... 0.18 eV per atom

=====

(3)
Compound: Tb5TmIn8
Source: Alexandria
Functional: PBE-GGA
Structure: relaxed

The structure in POSCAR format:
```
Tb5TmIn8
1.0
-4.6082 4.6082 4.5697
4.6082 -4.6082 4.5697
4.6082 4.6082 -4.5697
Tb Tm In
5 1 8
Cartesian
0.0000 0.0000 0.0000
5.7325 2.3294 -1.1501
2.3294 3.4840 1.1501
-1.1243 2.2789 3.4197
2.2789 1.1243 5.7198
4.6082 0.0000 2.2849
3.0845 0.7555 -0.3431
3.0360 3.8192 -1.9341
3.8528 -1.5237 4.9128
1.5722 0.7890 2.6356
5.3973 3.0360 1.9341
0.7555 6.1319 0.3431
1.5237 3.8528 4.2266
-0.7890 1.5722 6.5038
```

Calculated values
Space group ... I-4 (82)
ΔE_f ... -0.34 eV per atom

=====

(4)
Compound: Pr4AlIn
Source: Alexandria
Functional: PBE-GGA
Structure: relaxed

The structure in POSCAR format:
```
Pr4AlIn
1.0
5.9114 0.0000 0.0000
0.0000 3.8478 0.0000
-0.0092 0.0000 8.7754
Pr Al In
4 1 1
Cartesian
5.9072 0.0000 1.7757
-0.0049 0.0000 6.9997
2.9512 1.9239 2.4559
2.9511 1.9239 6.3195
2.9557 0.0000 0.0000
-0.0046 1.9239 4.3877
```

Calculated values
Space group ... P2/m (10)
ΔE_f ... -0.05 eV per atom
E above lowest polymorph ... 2.4 kJ per mole of atoms

=====

(5)
Compound: Mg6CoH12
Source: Alexandria
Functional: PBE-GGA
Structure: relaxed

The structure in POSCAR format:
```
Mg6CoH12
1.0
4.0982 2.3661 3.0395
-4.0982 2.3661 3.0395
0.0000 -4.7322 3.0395
Mg Co H
6 1 12
Cartesian
-2.8358 -0.8683 4.3684
-0.6659 -2.8900 4.7501
-2.1699 2.0217 4.7501
2.1699 -2.0217 4.3684
0.6659 2.8900 4.3684
2.8358 0.8683 4.7501
0.0000 0.0000 4.5592
-2.5593 -2.5833 5.0438
-3.5169 0.9247 4.0747
-0.8503 -1.1901 3.6254
0.9576 -3.5081 4.0746
-0.6055 1.3314 3.6254
-1.4558 0.1414 5.4931
1.4558 -0.1414 3.6254
0.6055 -1.3314 5.4931
-0.9576 3.5081 5.0438
0.8503 1.1901 5.4931
3.5169 -0.9247 5.0438
2.5593 2.5833 4.0747
```

Calculated values
Space group ... R-3 (148)

=====

(6)
Compound: CaLa2Pr6
Source: Alexandria
Functional: PBE-GGA
Structure: relaxed

The structure in POSCAR format:
```
CaLa2Pr6
1.0
3.7297 0.0000 0.0000
-1.8649 3.2301 0.0000
0.0000 0.0000 34.0457
Ca La Pr
1 2 6
Cartesian
0.0000 0.0000 0.0000
0.0000 2.1534 9.3706
0.0000 2.1534 24.6751
0.0000 0.0000 6.1162
0.0000 0.0000 12.2636
0.0000 0.0000 21.7822
0.0000 0.0000 27.9295
0.0000 2.1534 3.2087
0.0000 2.1534 30.8371
```

Calculated values
Space group ... P-6m2 (187)
ΔE_f ... 0.17 eV per atom
E above lowest polymorph ... 9.7 kJ per mole of atoms

=====

no.,DFT total energy (eV per cell)
1,-36.87
2,-36.28
3,-54.23
4,-25.89
5,-58.62
6,-39.04